Density functional theory data (PBE-GGA) for an optimized crystal structure of Pr12HoEr6.

abc: 12.2073 12.2073 15.3937
angles: 90.00 90.00 120.00
Space group R-3 (No. 148, hexagonal axes)
One atom of each set of equivalent atoms:
Pr: 0.0001 0.1730 0.1915 [18 per cell]
Pr: 0.0483 0.1990 0.4159 [18 per cell]
Ho: 0.0000 0.0000 0.0000 [3 per cell]
Er: 0.0181 0.5881 0.6884 [18 per cell]

volume	1986.6	Å³ per cell
energy above the lowest structure with this stoichiometry	0.0	meV per atom
D(E_F)	97.3	states/eV per cell
electronic total energy	-4.57	eV/atom

Density functional theory data (PBE-GGA) for an optimized crystal structure of Pr3Ho4Er2.

abc: 17.193 5.608 6.672
angles: 90.00 112.62 90.00
Space group C2/m (No. 12)
One atom of each set of equivalent atoms:
Pr: 0.000 0.000 0.000 [2 per cell]
Pr: 0.139 0.000 0.700 [4 per cell]
Ho: 0.072 0.500 0.387 [4 per cell]
Ho: 0.221 0.000 0.299 [4 per cell]
Er: 0.138 0.500 0.974 [4 per cell]

volume	593.9	Å³ per cell
energy above the lowest structure with this stoichiometry	0.0	meV per atom
D(E_F)	29.1	states/eV per cell
electronic total energy	-4.55	eV/atom

Please write out number 2 again, unchanged.
Density functional theory data (PBE-GGA) for an optimized crystal structure of Pr3Ho4Er2.

abc: 17.193 5.608 6.672
angles: 90.00 112.62 90.00
Space group C2/m (No. 12)
One atom of each set of equivalent atoms:
Pr: 0.000 0.000 0.000 [2 per cell]
Pr: 0.139 0.000 0.700 [4 per cell]
Ho: 0.072 0.500 0.387 [4 per cell]
Ho: 0.221 0.000 0.299 [4 per cell]
Er: 0.138 0.500 0.974 [4 per cell]

volume	593.9	Å³ per cell
energy above the lowest structure with this stoichiometry	0.0	meV per atom
D(E_F)	29.1	states/eV per cell
electronic total energy	-4.55	eV/atom